# Pd3PtRh

A geometry-optimized Pd3PtRh structure (GGA-PBEsol, Alexandria).

As for the total energy: -5.0782 eV per atom. The formation energy comes out at 1.517 eV/atom. The value obtained for the spin magnetization is 0.39 Bohr magnetons per cell.

Unit cell a=4.6076 b=4.6076 c=4.6076 alpha=90.00 beta=90.00 gamma=90.00
Last column: nearest neighbours and their distance in Å.
Space group Pm-3m (No. 221)
One atom of each set of equivalent atoms:
Pd1 0.0000 0.0000 0.5000 (multiplicity 3)  2 Rh 2.30
Pt1 0.5000 0.5000 0.5000 (multiplicity 1)  12 Pd 3.26
Rh1 0.0000 0.0000 0.0000 (multiplicity 1)  6 Pd 2.30

=====

# BaIrO3

A geometry-optimized BaIrO3 structure (GGA-PBEsol, Alexandria).

As for the total energy: -7.1546 eV per atom. The value obtained for the spin magnetization is 0.07 Bohr magnetons per cell. For the formation energy without anion corrections, the calculation gives -1611 meV/atom.

Unit cell a=10.0082 b=5.7336 c=14.9938 alpha=90.00 beta=103.52 gamma=90.00
Last column: nearest neighbours and their distance in Å.
Space group C2/m (No. 12)
One atom of each set of equivalent atoms:
Ba1 0.1335 0.0000 0.4278 (multiplicity 4)  7 O 2.62-2.89
Ba2 0.1484 0.5000 0.9233 (multiplicity 4)  9 O 2.70-2.91
Ba3 0.2242 0.5000 0.2514 (multiplicity 4)  7 O 2.68-2.89
Ir1 0.0000 0.0000 0.0000 (multiplicity 2)  6 O 2.03
Ir2 0.0000 0.5000 0.5000 (multiplicity 2)  6 O 2.03
Ir3 0.0341 0.0000 0.1749 (multiplicity 4)  6 O 2.01-2.05
Ir4 0.0807 0.5000 0.6758 (multiplicity 4)  6 O 2.00-2.06
O1 0.0557 0.2490 0.7632 (multiplicity 8)  2 Ir 2.00-2.02
O2 0.1007 0.2330 0.0944 (multiplicity 8)  2 Ir 2.02-2.03
O3 0.1130 0.2575 0.5841 (multiplicity 8)  2 Ir 2.03
O4 0.1127 0.5000 0.4035 (multiplicity 4)  2 Ir 2.02-2.03
O5 0.1444 0.0000 0.9251 (multiplicity 4)  2 Ir 2.03-2.05
O6 0.2101 0.0000 0.2725 (multiplicity 4)  2 Ir 2.01-2.06

=====

# TbCoB4

A geometry-optimized TbCoB4 structure (GGA-PBEsol, Alexandria).

As for the total energy: -7.4497 eV per atom. The formation energy comes out at -0.648 eV/atom. The value obtained for the spin magnetization is 0.00 Bohr magnetons per cell.

Unit cell a=5.8724 b=11.3756 c=3.3418 alpha=90.00 beta=90.00 gamma=90.00
Last column: nearest neighbours and their distance in Å.
Space group Pbam (No. 55)
One atom of each set of equivalent atoms:
Tb1 0.1277 0.1498 0.0000 (multiplicity 4)  14 B 2.56-2.69
Co1 0.1338 0.4111 0.0000 (multiplicity 4)  10 B 2.17-2.27
B1 0.0230 0.6905 0.5000 (multiplicity 4)  3 B 1.72-1.83
B2 0.1110 0.5459 0.5000 (multiplicity 4)  3 B 1.67-1.72
B3 0.1393 0.9672 0.5000 (multiplicity 4)  3 B 1.72-1.80
B4 0.2185 0.8157 0.5000 (multiplicity 4)  3 B 1.78-1.83

=====

# K4NaCl5

A geometry-optimized K4NaCl5 structure (GGA-PBEsol, Alexandria).

Its distance to the lowest polymorph of the same formula is 3.7 meV per atom. As for the total energy: -3.4943 eV per atom. The value obtained for the spin magnetization is 0.00 Bohr magnetons per cell. For the formation energy without anion corrections, the calculation gives -1897 meV/atom.

Unit cell a=9.6500 b=9.6500 c=6.1459 alpha=90.00 beta=90.00 gamma=90.00
Last column: nearest neighbours and their distance in Å.
Space group I4/m (No. 87)
One atom of each set of equivalent atoms:
K1 0.0963 0.7011 0.0000 (multiplicity 8)  6 Cl 3.03-3.19
Na1 0.0000 0.0000 0.5000 (multiplicity 2)  6 Cl 2.88-3.07
Cl1 0.0000 0.0000 0.0000 (multiplicity 2)  4 K 3.03, 2 Na 3.07
Cl2 0.0932 0.7160 0.5000 (multiplicity 8)  1 Na 2.88, 5 K 3.07-3.19

=====

# HfRh3

A geometry-optimized HfRh3 structure (GGA-PBEsol, Alexandria).

As for the total energy: -9.4845 eV per atom. The formation energy comes out at -0.755 eV/atom. The value obtained for the spin magnetization is 0.00 Bohr magnetons per cell.

Unit cell a=3.8860 b=3.8860 c=3.8860 alpha=90.00 beta=90.00 gamma=90.00
Last column: nearest neighbours and their distance in Å.
Space group Pm-3m (No. 221)
One atom of each set of equivalent atoms:
Hf1 0.0000 0.0000 0.0000 (multiplicity 1)  12 Rh 2.75
Rh1 0.0000 0.5000 0.5000 (multiplicity 3)  4 Hf 2.75, 8 Rh 2.75

=====

# MgScPt

A geometry-optimized MgScPt structure (GGA-PBEsol, Alexandria).

As for the total energy: -5.8300 eV per atom. The formation energy comes out at -0.735 eV/atom. The value obtained for the spin magnetization is 0.00 Bohr magnetons per cell.

Unit cell a=6.3051 b=6.3051 c=6.3051 alpha=90.00 beta=90.00 gamma=90.00
Last column: nearest neighbours and their distance in Å.
Space group F-43m (No. 216)
One atom of each set of equivalent atoms:
Mg1 0.0000 0.0000 0.0000 (multiplicity 4)  4 Pt 2.73
Sc1 0.0000 0.0000 0.5000 (multiplicity 4)  4 Pt 2.73
Pt1 0.2500 0.2500 0.2500 (multiplicity 4)  4 Mg 2.73, 4 Sc 2.73

=====

# MnTlAg2

A geometry-optimized MnTlAg2 structure (GGA-PBEsol, Alexandria).

Its distance to the lowest polymorph of the same formula is 101.1 meV per atom. As for the total energy: -4.3637 eV per atom. The formation energy comes out at 0.390 eV/atom. The value obtained for the spin magnetization is 11.63 Bohr magnetons per cell.

Unit cell a=3.0427 b=3.0427 c=27.2936 alpha=90.00 beta=90.00 gamma=120.00
Last column: nearest neighbours and their distance in Å.
Space group R3m (No. 160, hexagonal axes)
One atom of each set of equivalent atoms:
Mn1 0.0000 0.0000 0.0000 (multiplicity 3)  3 Ag 2.71, 3 Tl 2.93
Tl1 0.0000 0.0000 0.7525 (multiplicity 3)  3 Mn 2.93, 3 Ag 3.02, 6 Tl 3.04
Ag1 0.0000 0.0000 0.2575 (multiplicity 3)  3 Mn 2.71, 3 Ag 2.84
Ag2 0.0000 0.0000 0.5092 (multiplicity 3)  9 Ag 2.84-3.04, 3 Tl 3.02

=====

# KFe2P

A geometry-optimized KFe2P structure (GGA-PBEsol, Alexandria).

As for the total energy: -6.0590 eV per atom. The formation energy comes out at 0.154 eV/atom. The value obtained for the spin magnetization is 3.99 Bohr magnetons per cell.

Unit cell a=3.0273 b=3.7297 c=6.6652 alpha=90.00 beta=97.00 gamma=90.00
Last column: nearest neighbours and their distance in Å.
Space group Pm (No. 6)
One atom of each set of equivalent atoms:
K1 0.0000 0.0000 0.0000 (multiplicity 1)  2 K 3.03, 4 P 3.21-3.22, 1 Fe 3.26
Fe1 0.1512 0.5000 0.5635 (multiplicity 1)  2 P 2.20, 4 Fe 2.41-2.43
Fe2 0.6357 0.0000 0.5186 (multiplicity 1)  2 P 2.27, 4 Fe 2.41-2.43
P1 0.5868 0.5000 0.3230 (multiplicity 1)  4 Fe 2.20-2.27

=====

The highest spin magnetization belongs to which entry? MnTlAg2

=====

spin magnetization of number 5 (HfRh3)? 0.00 Bohr magnetons per cell

=====

Which of these has the highest spin magnetization? MnTlAg2